This record from Alexandria via LeMat-Bulk describes crystalline PuTiO2 at its relaxed geometry. The functional is PBE.

Results
Electronic total energy = -10.271 eV per atom
Space group = R-3m (166)
ρ = 9.42 g/cm3

Cell: 3.1779 3.1779 6.7789 Å, 76.44 76.44 60.00°
Last column: nearest neighbours and their distance in Å.
Positions (direct):
Ti (0.5000, 0.5000, 0.5000)  6 O 2.08
O (0.1171, 0.1171, 0.6487)  3 Ti 2.08, 1 Pu 2.29
O (0.8829, 0.8829, 0.3513)  3 Ti 2.08, 1 Pu 2.29
Pu (0.0000, 0.0000, 0.0000)  2 O 2.29